[1]
6
Lattice="-5.1330 2.5537 1.8918 5.0273 -2.9141 1.6379 2.4045 4.4436 0.5258" Properties=species:S:1:pos:R:3 comment="Al2P (PBE, relaxed)" dos_at_fermi_per_ev_fu=1.3 ef_ev_per_atom=-0.093 total_energy_ev_per_atom=-4.39 spacegroup="Cmcm, No. 63" pbc="T T T"
Al 2.0906 0.1007 1.8577
Al 0.2082 3.9825 2.1977
Al -2.8923 5.6510 2.2752
Al 5.1911 -1.5679 1.7802
P 3.6540 2.1281 2.1116
P -1.3553 1.9551 1.9439

=====

[2]
6
Lattice="-0.5245 2.9777 4.3020 1.2319 5.1090 -0.1725 -3.7972 3.6296 0.2384" Properties=species:S:1:pos:R:3 comment="Al5P (PBE, relaxed)" dos_at_fermi_per_ev_fu=3.8 ef_ev_per_atom=0.313 polymorph_energy_mev_per_atom=277 total_energy_ev_per_atom=-3.71 spacegroup="F-43m, No. 216" pbc="T T T"
Al -3.0550 6.2079 1.7577
Al -2.3173 8.7872 3.2759
Al -1.1592 4.3957 1.6387
Al -0.5441 6.9465 1.5526
Al -1.4211 5.8824 3.7866
P 0.0000 0.0000 0.0000

=====

[3]
8
Lattice="-6.4255 -2.2386 2.2258 6.2106 -3.5609 0.0000 0.7162 1.2491 3.3238" Properties=species:S:1:pos:R:3 comment="AlP3 (PBE, relaxed)" dos_at_fermi_per_ev_fu=1.5 ef_ev_per_atom=0.262 total_energy_ev_per_atom=-4.73 spacegroup="Cmcm, No. 63" pbc="T T T"
P -1.1740 -0.3002 3.3264
P -1.2843 -3.2785 4.4695
P -2.8238 -1.6225 4.1788
P 1.6753 -4.2502 2.2232
P 3.3252 -2.9280 1.3707
P 1.7857 -1.2719 1.0801
Al 1.4811 -2.0730 3.4205
Al -0.9797 -2.4775 2.1290

=====

[4]
12
Lattice="-6.9059 13.5501 8.7772 -10.7912 12.4595 6.0536 8.0627 -14.5261 -5.6851" Properties=species:S:1:pos:R:3 comment="Al2P (PBE, relaxed)" dos_at_fermi_per_ev_fu=0.8 ef_ev_per_atom=-0.046 total_energy_ev_per_atom=-4.34 spacegroup="I4_1/amd, No. 141" pbc="T T T"
Al -10.4878 15.4141 8.7892
Al -7.8913 11.9601 8.6440
Al -5.4851 8.4237 6.6275
Al -4.8031 7.0592 4.0252
Al -2.2066 3.6052 3.8799
Al -12.8940 18.9505 10.8056
Al 0.1996 0.0688 1.8635
Al -7.2093 10.5955 6.0416
P -7.1196 7.4254 5.0075
P -16.3660 24.0533 13.7153
P -1.3311 1.9563 1.1155
P -4.4574 3.5128 2.7765

=====

[5]
6
Lattice="-2.6125 4.4684 0.3848 -2.2458 -4.1397 -2.1817 -1.6457 -1.3244 4.2071" Properties=species:S:1:pos:R:3 comment="Al5P (PBE, relaxed)" dos_at_fermi_per_ev_fu=3.8 ef_ev_per_atom=0.394 polymorph_energy_mev_per_atom=358 total_energy_ev_per_atom=-3.63 spacegroup="P6/mmm, No. 191" pbc="T T T"
P 0.0000 0.0000 0.0000
Al -2.4903 1.5991 -0.4707
Al -1.9457 -2.7321 1.0127
Al -3.2520 -0.4978 1.2051
Al -2.1291 1.5720 2.2959
Al -2.3680 -1.2703 -1.3262

=====

[6]
6
Lattice="0.3996 -5.1871 -0.5725 -2.1472 -3.1971 3.5442 -4.2239 -2.8284 -1.2459" Properties=species:S:1:pos:R:3 comment="Al2P (PBE, relaxed)" dos_at_fermi_per_ev_fu=1.6 ef_ev_per_atom=0.461 total_energy_ev_per_atom=-3.84 spacegroup="Fd-3m, No. 227" pbc="T T T"
Al -1.8201 -3.0001 1.9878
Al -0.5467 -3.9951 -0.0705
Al -0.7464 -1.4016 0.2157
Al -2.8584 -2.8158 -0.4072
P -4.4787 -8.4094 1.2943
P -2.9858 -5.6063 0.8629

=====

[7]
16
Lattice="-5.8046 0.1306 1.7469 0.2036 -6.4703 1.1604 2.0984 1.2990 6.8752" Properties=species:S:1:pos:R:3 comment="Al3P (PBE, relaxed)" dos_at_fermi_per_ev_fu=0.7 ef_ev_per_atom=-0.059 polymorph_energy_mev_per_atom=0 total_energy_ev_per_atom=-4.22 spacegroup="Pnma, No. 62" pbc="T T T"
Al -1.6396 -0.8318 8.0526
Al -2.8312 -4.0378 9.0220
Al -1.0118 -3.6819 4.5189
Al -3.6591 -3.4946 3.7173
Al 0.1798 -0.4759 3.5495
Al 0.1565 -1.5460 6.0652
Al -0.6714 -1.0028 0.7605
Al 0.3514 -4.7832 6.6174
Al -3.6824 -4.5648 6.2330
Al -1.8630 -4.2088 1.7299
Al -2.4908 -1.3587 5.2636
Al -3.8539 -0.2574 3.1652
P -0.0291 -2.7561 2.4699
P -3.4734 -2.2846 7.3126
P -1.5273 -5.9552 3.5316
P -1.9752 0.9146 6.2509

=====

[8]
4
Lattice="4.3659 0.0000 0.0000 0.0000 4.3659 0.0000 0.0000 0.0000 3.0473" Properties=species:S:1:pos:R:3 comment="AlP3 (PBE, relaxed)" dos_at_fermi_per_ev_fu=1.5 ef_ev_per_atom=0.405 total_energy_ev_per_atom=-4.59 spacegroup="P4/mmm, No. 123" pbc="T T T"
Al 0.0000 0.0000 0.0000
P 2.1830 0.0000 1.5236
P 0.0000 2.1830 1.5236
P 2.1830 2.1830 0.0000

=====

[9]
4
Lattice="2.7904 -0.0291 0.0000 -0.6086 2.7233 0.0000 0.0000 0.0000 8.9434" Properties=species:S:1:pos:R:3 comment="AlP (PBE, relaxed)" dos_at_fermi_per_ev_fu=0.3 ef_ev_per_atom=0.223 total_energy_ev_per_atom=-4.35 spacegroup="Cmme, No. 67" pbc="T T T"
P 1.0909 1.3471 1.7564
P 0.0000 0.0000 4.9512
Al 1.0909 1.3471 6.7653
Al 0.0000 0.0000 8.8857

=====

[10]
4
Lattice="5.6958 0.0384 0.0273 5.0858 2.5648 0.0273 0.2005 0.0484 4.8555" Properties=species:S:1:pos:R:3 comment="AlP3 (PBE, relaxed)" dos_at_fermi_per_ev_fu=1.8 ef_ev_per_atom=0.325 total_energy_ev_per_atom=-4.67 spacegroup="C2/m, No. 12" pbc="T T T"
P 7.3837 1.7828 3.8840
P 5.4910 1.3258 2.4551
P 3.5984 0.8688 1.0262
Al 0.0000 0.0000 0.0000

=====

[11]
3
Lattice="-2.2122 -2.5093 -1.8982 3.0665 -2.2389 -0.6142 -0.6550 -1.7363 3.0587" Properties=species:S:1:pos:R:3 comment="Al2P (PBE, relaxed)" dos_at_fermi_per_ev_fu=0.6 ef_ev_per_atom=-0.006 total_energy_ev_per_atom=-4.30 spacegroup="P4/mmm, No. 123" pbc="T T T"
P 0.0000 0.0000 0.0000
Al -1.4336 -2.1228 0.5803
Al 1.2057 -1.9876 1.2222

=====

[12]
4
Lattice="-2.8913 -3.0355 0.8035 1.2394 -0.8072 -4.0040 3.2568 -0.0876 2.7577" Properties=species:S:1:pos:R:3 comment="AlP3 (PBE, relaxed)" dos_at_fermi_per_ev_fu=1.5 ef_ev_per_atom=0.433 total_energy_ev_per_atom=-4.56 spacegroup="I4/mmm, No. 139" pbc="T T T"
Al 0.0000 0.0000 0.0000
P -0.8259 -1.9214 -1.6002
P -0.2302 -2.5222 0.9805
P 1.8351 -1.4081 -1.4233

=====

[13]
4
Lattice="-0.5439 -3.1109 -1.7444 2.7647 0.3215 2.2955 -3.3580 -1.8240 4.2999" Properties=species:S:1:pos:R:3 comment="AlP (PBE, relaxed)" dos_at_fermi_per_ev_fu=0.3 ef_ev_per_atom=-0.365 total_energy_ev_per_atom=-4.94 spacegroup="P6_3/mmc, No. 194" pbc="T T T"
P -1.9595 -3.3347 2.8272
P 0.8223 -1.2786 2.0238
Al -1.6790 -0.9120 2.1499
Al 0.0000 0.0000 0.0000

=====

[14]
4
Lattice="3.1671 0.0000 0.0000 0.0000 2.9932 0.0000 0.0000 0.0000 6.8265" Properties=species:S:1:pos:R:3 comment="Al3P (PBE, relaxed)" dos_at_fermi_per_ev_fu=1.3 ef_ev_per_atom=0.051 polymorph_energy_mev_per_atom=111 total_energy_ev_per_atom=-4.11 spacegroup="Pmmm, No. 47" pbc="T T T"
Al 1.5836 1.4966 5.3559
Al 1.5836 1.4966 1.4706
Al 0.0000 0.0000 3.4133
P 0.0000 0.0000 0.0000

=====

[15]
4
Lattice="-2.9236 2.5249 0.4180 -0.3530 -2.9922 -2.4535 -2.4120 -3.5715 4.7028" Properties=species:S:1:pos:R:3 comment="AlP (PBE, relaxed)" dos_at_fermi_per_ev_fu=0.0 ef_ev_per_atom=-0.609 total_energy_ev_per_atom=-5.18 spacegroup="P6_3mc, No. 186" pbc="T T T"
Al -1.9006 -2.1760 -0.1496
Al -3.9635 -2.1227 3.1590
P -3.0594 -0.7839 1.3962
P -3.4085 -4.4087 2.7905

=====

[16]
4
Lattice="5.5870 0.0503 0.0396 3.2191 4.5667 -0.0396 -4.4307 -2.2557 2.5493" Properties=species:S:1:pos:R:3 comment="AlP3 (PBE, relaxed)" dos_at_fermi_per_ev_fu=2.0 ef_ev_per_atom=0.309 total_energy_ev_per_atom=-4.68 spacegroup="Immm, No. 71" pbc="T T T"
P 7.2014 3.7757 0.0000
P 1.6047 0.8413 0.0000
P -0.6058 1.1555 1.2549
Al 0.5781 -1.1027 1.2945

=====

[17]
4
Lattice="-2.2904 -1.5148 0.8323 2.4236 -1.2107 4.4659 -1.7425 3.7062 1.9503" Properties=species:S:1:pos:R:3 comment="Al3P (PBE, relaxed)" dos_at_fermi_per_ev_fu=1.3 ef_ev_per_atom=0.117 polymorph_energy_mev_per_atom=176 total_energy_ev_per_atom=-4.04 spacegroup="Pmm2, No. 25" pbc="T T T"
Al -1.2623 1.4637 4.1365
Al -0.1509 0.3209 0.1689
Al -2.1655 1.4128 1.5582
P 0.8078 0.2540 2.6852

=====

[18]
4
Lattice="-3.0574 1.3717 3.5899 0.7315 -4.8364 0.4375 2.1811 0.4813 1.6737" Properties=species:S:1:pos:R:3 comment="Al3P (PBE, relaxed)" dos_at_fermi_per_ev_fu=1.5 ef_ev_per_atom=0.121 polymorph_energy_mev_per_atom=180 total_energy_ev_per_atom=-4.04 spacegroup="Cmmm, No. 65" pbc="T T T"
Al -1.1630 -1.7323 2.0137
Al -0.4382 0.9265 2.6318
Al 1.4563 -2.1775 1.0556
P 0.0000 0.0000 0.0000

=====

[19]
12
Lattice="-5.8316 -4.7296 5.7125 5.4372 -4.6878 -6.1213 2.8349 -0.2359 2.6987" Properties=species:S:1:pos:R:3 comment="AlP (PBE, relaxed)" dos_at_fermi_per_ev_fu=0.0 ef_ev_per_atom=-0.472 total_energy_ev_per_atom=-5.05 spacegroup="P6_3/m, No. 176" pbc="T T T"
Al -1.5446 -7.1796 2.4193
Al 3.9851 -2.4736 -0.1294
Al 2.2835 -5.9897 1.3508
Al 0.1571 -3.6636 0.9391
Al 5.1529 -6.1726 -1.6794
Al -2.7123 -3.4806 3.9693
P 5.3111 -3.8185 -1.6398
P -2.8705 -5.8347 3.9298
P -0.0603 -6.0721 0.9569
P -1.1690 -2.4170 2.4411
P 3.6096 -7.2362 -0.1512
P 2.5008 -3.5812 1.3330

=====

[20]
2
Lattice="3.8928 0.0000 0.0000 1.9464 3.3713 0.0000 1.9464 1.1238 3.1785" Properties=species:S:1:pos:R:3 comment="AlP (PBE, relaxed)" dos_at_fermi_per_ev_fu=0.0 ef_ev_per_atom=-0.612 total_energy_ev_per_atom=-5.19 spacegroup="F-43m, No. 216" pbc="T T T"
Al 0.0000 0.0000 0.0000
P 5.8392 3.3713 2.3838